{
  "formula": "LaNbZnCr2",
  "functional": "PBE",
  "state": "optimized geometry",
  "dos_at_fermi_per_ev_fu": 11.60,
  "delta_e_f_ev_per_atom": 1.62,
  "lattice": [[-1.552, -1.437, 3.953], [3.314, -4.070, -0.179], [3.112, 2.442, 2.110]],
  "species": ["Cr", "Cr", "Nb", "Zn", "La"],
  "fractional_positions": [[0.000, 0.000, 0.500], [0.500, 0.000, 0.000], [0.500, 0.500, 0.500], [0.000, 0.000, 0.000], [0.000, 0.500, 0.000]]
}



{
  "formula": "InSnClF2",
  "functional": "PBE",
  "state": "optimized geometry",
  "dos_at_fermi_per_ev_fu": 0.00,
  "de_polymorph_mev_per_atom": 0.0,
  "formation_energy_uncorrected_ev_per_atom": -1.648,
  "lattice": [[-3.267, -2.279, 0.585], [3.982, -6.001, -1.137], [0.177, 1.941, 8.546]],
  "species": ["In", "In", "Sn", "Sn", "Cl", "Cl", "F", "F", "F", "F"],
  "fractional_positions": [[0.250, 0.285, 0.549], [0.750, 0.715, 0.451], [0.250, 0.303, 0.059], [0.750, 0.697, 0.941], [0.250, 0.912, 0.160], [0.750, 0.088, 0.840], [0.750, 0.514, 0.633], [0.250, 0.486, 0.367], [0.750, 0.516, 0.111], [0.250, 0.484, 0.889]]
}



{
  "formula": "Pr6PtPb2",
  "functional": "PBE",
  "state": "optimized geometry",
  "dos_at_fermi_per_ev_fu": 11.19,
  "delta_e_f_ev_per_atom": -0.55,
  "lattice": [[-1.591, -2.055, -3.119], [-4.119, -5.533, 5.747], [-4.141, 7.459, -2.801]],
  "species": ["Pr", "Pr", "Pr", "Pr", "Pr", "Pr", "Pt", "Pb", "Pb"],
  "fractional_positions": [[0.500, 0.597, 0.000], [0.500, 0.403, 0.403], [0.500, 0.000, 0.597], [0.000, 0.244, 0.000], [0.000, 0.756, 0.756], [0.000, 0.000, 0.244], [0.500, 0.000, 0.000], [0.000, 0.333, 0.667], [0.000, 0.667, 0.333]]
}



{
  "formula": "RbPuSn2Br8",
  "functional": "PBE",
  "state": "optimized geometry",
  "dos_at_fermi_per_ev_fu": 10.35,
  "formation_energy_uncorrected_ev_per_atom": -1.159,
  "lattice": [[7.278, 0.091, 0.240], [0.145, 6.928, 0.136], [0.317, 0.192, 9.436]],
  "species": ["Rb", "Pu", "Sn", "Sn", "Br", "Br", "Br", "Br", "Br", "Br", "Br", "Br"],
  "fractional_positions": [[0.000, 0.000, 0.500], [0.000, 0.000, 0.000], [0.487, 0.490, 0.749], [0.513, 0.510, 0.251], [0.165, 0.757, 0.213], [0.676, 0.760, 0.026], [0.857, 0.260, 0.215], [0.835, 0.243, 0.787], [0.324, 0.240, 0.974], [0.143, 0.740, 0.785], [0.619, 0.732, 0.463], [0.381, 0.268, 0.537]]
}



{
  "formula": "KY2CuBr8",
  "functional": "PBE",
  "state": "optimized geometry",
  "dos_at_fermi_per_ev_fu": 0.00,
  "formation_energy_uncorrected_ev_per_atom": -1.553,
  "lattice": [[7.343, 2.113, 0.257], [2.156, 8.361, -0.438], [0.295, -0.611, 8.429]],
  "species": ["K", "Y", "Y", "Cu", "Br", "Br", "Br", "Br", "Br", "Br", "Br", "Br"],
  "fractional_positions": [[0.000, 0.000, 0.500], [0.509, 0.523, 0.757], [0.491, 0.477, 0.243], [0.000, 0.000, 0.000], [0.082, 0.645, 0.273], [0.502, 0.722, 0.052], [0.933, 0.234, 0.196], [0.918, 0.355, 0.727], [0.498, 0.278, 0.948], [0.067, 0.766, 0.804], [0.511, 0.714, 0.499], [0.489, 0.286, 0.501]]
}



{
  "formula": "HfOsRh2",
  "functional": "PBE",
  "state": "optimized geometry",
  "dos_at_fermi_per_ev_fu": 3.28,
  "delta_e_f_ev_per_atom": 0.07,
  "de_polymorph_mev_per_atom": 565.4,
  "lattice": [[3.906, 0.000, 0.000], [0.000, 3.906, 0.000], [1.953, 1.953, 8.980]],
  "species": ["Hf", "Hf", "Os", "Os", "Rh", "Rh", "Rh", "Rh"],
  "fractional_positions": [[0.500, 0.500, 0.000], [0.250, 0.750, 0.500], [0.000, 0.000, 0.000], [0.750, 0.250, 0.500], [0.641, 0.125, 0.250], [0.109, 0.625, 0.250], [0.375, 0.359, 0.750], [0.875, 0.891, 0.750]]
}



{
  "formula": "HfSiSe3",
  "functional": "PBE",
  "state": "optimized geometry",
  "dos_at_fermi_per_ev_fu": 2.66,
  "de_polymorph_mev_per_atom": 195.9,
  "formation_energy_uncorrected_ev_per_atom": 0.139,
  "lattice": [[-3.639, -1.758, 2.503], [2.529, 0.459, 3.999], [-1.721, 4.392, 0.584]],
  "species": ["Si", "Hf", "Se", "Se", "Se"],
  "fractional_positions": [[0.000, 0.000, 0.000], [0.500, 0.500, 0.500], [0.000, 0.500, 0.000], [0.000, 0.000, 0.500], [0.500, 0.000, 0.000]]
}



{
  "formula": "TlCrTe2",
  "functional": "PBE",
  "state": "optimized geometry",
  "dos_at_fermi_per_ev_fu": 2.80,
  "formation_energy_uncorrected_ev_per_atom": 0.279,
  "lattice": [[7.612, 0.226, 0.000], [5.160, 5.601, 0.000], [-6.386, -2.913, 2.954]],
  "species": ["Cr", "Te", "Te", "Tl"],
  "fractional_positions": [[0.750, 0.250, 0.500], [0.000, 0.000, 0.000], [0.250, 0.750, 0.500], [0.500, 0.500, 0.000]]
}



{
  "formula": "Ho5SnSe4",
  "functional": "PBE",
  "state": "optimized geometry",
  "dos_at_fermi_per_ev_fu": 4.55,
  "formation_energy_uncorrected_ev_per_atom": -1.538,
  "lattice": [[1.886, -5.024, 2.293], [-1.549, -5.769, -3.941], [6.603, -1.847, -2.052]],
  "species": ["Ho", "Ho", "Ho", "Ho", "Ho", "Sn", "Se", "Se", "Se", "Se"],
  "fractional_positions": [[0.901, 0.406, 0.795], [0.306, 0.795, 0.594], [0.696, 0.205, 0.406], [0.101, 0.594, 0.205], [0.501, 0.000, 0.000], [0.001, 0.000, 0.000], [0.399, 0.403, 0.802], [0.802, 0.802, 0.597], [0.200, 0.198, 0.403], [0.603, 0.597, 0.198]]
}



{
  "formula": "SrCdOs2",
  "functional": "PBE",
  "state": "optimized geometry",
  "dos_at_fermi_per_ev_fu": 3.72,
  "delta_e_f_ev_per_atom": 0.39,
  "lattice": [[-0.623, -1.647, -2.288], [-2.337, -2.059, 2.118], [-5.885, 4.786, -1.842]],
  "species": ["Cd", "Os", "Os", "Sr"],
  "fractional_positions": [[0.500, 0.500, 0.800], [0.000, 0.000, 0.049], [0.500, 0.500, 0.175], [0.000, 0.000, 0.476]]
}



{
  "formula": "Ta2BeNi",
  "functional": "PBE",
  "state": "optimized geometry",
  "dos_at_fermi_per_ev_fu": 2.79,
  "delta_e_f_ev_per_atom": 0.22,
  "lattice": [[-4.409, 1.272, -0.935], [-4.373, 0.218, 1.660], [0.014, 4.451, 1.807]],
  "species": ["Ni", "Be", "Ta", "Ta"],
  "fractional_positions": [[0.750, 0.750, 0.750], [0.250, 0.250, 0.250], [0.002, 0.002, 0.004], [0.498, 0.498, 0.496]]
}



{
  "formula": "KIn4Au2",
  "functional": "PBE",
  "state": "optimized geometry",
  "dos_at_fermi_per_ev_fu": 3.39,
  "delta_e_f_ev_per_atom": -0.24,
  "de_polymorph_mev_per_atom": 0.0,
  "lattice": [[4.824, 0.000, 0.000], [0.000, 7.593, 0.000], [0.000, 0.000, 19.144]],
  "species": ["K", "K", "K", "K", "Au", "Au", "Au", "Au", "Au", "Au", "Au", "Au", "In", "In", "In", "In", "In", "In", "In", "In", "In", "In", "In", "In", "In", "In", "In", "In"],
  "fractional_positions": [[0.750, 0.978, 0.641], [0.250, 0.022, 0.359], [0.250, 0.478, 0.859], [0.750, 0.522, 0.141], [0.250, 0.748, 0.540], [0.750, 0.252, 0.460], [0.750, 0.248, 0.960], [0.250, 0.752, 0.040], [0.250, 0.974, 0.782], [0.750, 0.026, 0.218], [0.750, 0.474, 0.718], [0.250, 0.526, 0.282], [0.250, 0.273, 0.688], [0.750, 0.727, 0.312], [0.750, 0.773, 0.812], [0.250, 0.227, 0.188], [0.250, 0.679, 0.687], [0.750, 0.321, 0.313], [0.750, 0.179, 0.813], [0.250, 0.821, 0.187], [0.250, 0.151, 0.535], [0.750, 0.849, 0.465], [0.750, 0.651, 0.965], [0.250, 0.349, 0.035], [0.250, 0.490, 0.431], [0.750, 0.510, 0.569], [0.750, 0.990, 0.069], [0.250, 0.010, 0.931]]
}



{
  "formula": "Pm2HoTl3",
  "functional": "PBE",
  "state": "optimized geometry",
  "dos_at_fermi_per_ev_fu": 4.62,
  "delta_e_f_ev_per_atom": -0.37,
  "de_polymorph_mev_per_atom": 0.0,
  "lattice": [[3.812, 0.000, 0.000], [0.000, 3.812, 0.000], [0.000, 0.000, 11.766]],
  "species": ["Pm", "Pm", "Ho", "Tl", "Tl", "Tl"],
  "fractional_positions": [[0.500, 0.500, 0.829], [0.500, 0.500, 0.171], [0.500, 0.500, 0.500], [0.000, 0.000, 0.000], [0.000, 0.000, 0.657], [0.000, 0.000, 0.343]]
}



{
  "formula": "Sm4Ge2Te",
  "functional": "PBE",
  "state": "optimized geometry",
  "dos_at_fermi_per_ev_fu": 3.91,
  "de_polymorph_mev_per_atom": 188.0,
  "formation_energy_uncorrected_ev_per_atom": -0.771,
  "lattice": [[-3.845, 1.130, -7.920], [-5.821, -6.419, 1.923], [0.956, 6.907, 5.488]],
  "species": ["Sm", "Sm", "Sm", "Sm", "Sm", "Sm", "Sm", "Sm", "Ge", "Ge", "Ge", "Ge", "Te", "Te"],
  "fractional_positions": [[0.857, 0.143, 0.286], [0.393, 0.607, 0.214], [0.857, 0.572, 0.714], [0.857, 0.143, 0.714], [0.428, 0.142, 0.285], [0.393, 0.178, 0.786], [0.393, 0.607, 0.786], [0.822, 0.608, 0.214], [0.625, 0.375, 0.750], [0.625, 0.875, 0.250], [0.625, 0.375, 0.250], [0.125, 0.375, 0.750], [0.250, 0.750, 0.500], [0.000, 0.000, 0.000]]
}



{
  "formula": "TiMn3Ru",
  "functional": "PBE",
  "state": "optimized geometry",
  "dos_at_fermi_per_ev_fu": 9.64,
  "delta_e_f_ev_per_atom": 1.11,
  "de_polymorph_mev_per_atom": 0.0,
  "lattice": [[4.600, 0.000, 0.000], [0.000, 4.600, 0.000], [0.000, 0.000, 4.600]],
  "species": ["Ru", "Mn", "Mn", "Mn", "Ti"],
  "fractional_positions": [[0.000, 0.000, 0.000], [0.000, 0.500, 0.000], [0.000, 0.000, 0.500], [0.500, 0.000, 0.000], [0.500, 0.500, 0.500]]
}



{
  "formula": "Sm6DyY3Sc2",
  "functional": "PBE",
  "state": "optimized geometry",
  "dos_at_fermi_per_ev_fu": 14.99,
  "delta_e_f_ev_per_atom": 0.04,
  "lattice": [[6.162, 0.000, 0.005], [-3.079, 5.338, 0.005], [-1.035, -1.791, 11.452]],
  "species": ["Sm", "Sm", "Sm", "Sm", "Sm", "Sm", "Dy", "Y", "Y", "Y", "Sc", "Sc"],
  "fractional_positions": [[0.918, 0.582, 0.756], [0.745, 0.745, 0.244], [0.082, 0.418, 0.244], [0.582, 0.918, 0.756], [0.255, 0.255, 0.756], [0.418, 0.082, 0.244], [0.000, 0.000, 0.000], [0.167, 0.833, 0.500], [0.833, 0.167, 0.500], [0.500, 0.500, 0.500], [0.333, 0.667, 0.000], [0.667, 0.333, 0.000]]
}



{
  "formula": "Th4RhC2",
  "functional": "PBE",
  "state": "optimized geometry",
  "dos_at_fermi_per_ev_fu": 6.09,
  "delta_e_f_ev_per_atom": -0.43,
  "lattice": [[3.791, 0.000, 0.000], [-1.896, 6.167, 0.000], [0.000, 0.000, 13.314]],
  "species": ["Th", "Th", "Th", "Th", "Th", "Th", "Th", "Th", "Rh", "Rh", "C", "C", "C", "C"],
  "fractional_positions": [[0.776, 0.551, 0.110], [0.776, 0.551, 0.390], [0.224, 0.449, 0.890], [0.224, 0.449, 0.610], [0.936, 0.871, 0.750], [0.064, 0.129, 0.250], [0.500, 0.000, 0.000], [0.500, 0.000, 0.500], [0.606, 0.213, 0.750], [0.394, 0.787, 0.250], [0.136, 0.273, 0.436], [0.864, 0.727, 0.936], [0.136, 0.273, 0.064], [0.864, 0.727, 0.564]]
}



{
  "formula": "FeTeAs2",
  "functional": "PBE",
  "state": "optimized geometry",
  "dos_at_fermi_per_ev_fu": 4.76,
  "formation_energy_uncorrected_ev_per_atom": 0.614,
  "lattice": [[-0.695, 0.941, 4.764], [-1.218, -4.674, -0.858], [3.284, -0.980, 0.673]],
  "species": ["As", "As", "Fe", "Te"],
  "fractional_positions": [[0.000, 0.000, 0.000], [0.500, 0.500, 0.000], [0.500, 0.000, 0.500], [0.000, 0.500, 0.500]]
}



{
  "formula": "TaZnGa",
  "functional": "PBE",
  "state": "optimized geometry",
  "dos_at_fermi_per_ev_fu": 1.54,
  "delta_e_f_ev_per_atom": 0.04,
  "lattice": [[2.838, 0.000, 0.000], [0.000, 2.838, 0.000], [-1.419, -1.419, 6.106]],
  "species": ["Zn", "Ga", "Ta"],
  "fractional_positions": [[0.616, 0.616, 0.232], [0.951, 0.951, 0.902], [0.283, 0.283, 0.566]]
}



{
  "formula": "Tb3Pm2Cd3",
  "functional": "PBE",
  "state": "optimized geometry",
  "dos_at_fermi_per_ev_fu": 9.36,
  "delta_e_f_ev_per_atom": -0.23,
  "de_polymorph_mev_per_atom": 0.0,
  "lattice": [[-2.178, 2.772, -1.395], [-3.109, -3.661, -2.419], [-3.856, -0.067, 11.034]],
  "species": ["Tb", "Tb", "Tb", "Pm", "Pm", "Cd", "Cd", "Cd"],
  "fractional_positions": [[0.379, 0.379, 0.759], [0.621, 0.621, 0.241], [0.500, 0.000, 0.000], [0.267, 0.767, 0.535], [0.733, 0.233, 0.465], [0.885, 0.885, 0.771], [0.000, 0.500, 0.000], [0.115, 0.115, 0.229]]
}